This record from Alexandria via LeMat-Bulk describes a geometry-optimized MgGa2Pd structure. The functional is PBE-GGA. Values from VASP.

Properties
Energy of formation, eV/atom: -0.31
Symmetry: R3m
Fermi-level density of states, states/eV per atom: 0.4845

Structure (Quantum ESPRESSO input):
```
&SYSTEM
  ibrav = 0, nat = 4, ntyp = 3
/
ATOMIC_SPECIES
Mg 24.30 Mg.upf
Ga 69.72 Ga.upf
Pd 106.42 Pd.upf
ATOMIC_POSITIONS angstrom
Mg 0.000 0.000 0.000
Ga 0.000 0.000 14.707
Ga 0.000 0.000 19.326
Pd 0.000 0.000 4.232
CELL_PARAMETERS angstrom
1.539 0.889 8.515
-1.539 0.889 8.515
0.000 -1.777 8.515
```

***

This record from Alexandria via LeMat-Bulk describes a geometry-optimized BaMnAs structure. The functional is PBE-GGA. Values from VASP.

Properties
Energy of formation, eV/atom: -0.34
Symmetry: Immm
Fermi-level density of states, states/eV per atom: 0.3775

Structure (Quantum ESPRESSO input):
```
&SYSTEM
  ibrav = 0, nat = 6, ntyp = 3
/
ATOMIC_SPECIES
Ba 137.33 Ba.upf
Mn 54.94 Mn.upf
As 74.92 As.upf
ATOMIC_POSITIONS angstrom
Ba 0.000 0.000 2.234
Ba 0.000 0.000 13.162
Mn 1.013 2.570 0.000
Mn 1.278 0.000 7.698
As 0.000 0.000 5.629
As 0.000 0.000 9.767
CELL_PARAMETERS angstrom
-2.291 2.570 7.698
2.291 -2.570 7.698
2.291 2.570 -7.698
```

***

This record from Alexandria via LeMat-Bulk describes a geometry-optimized Pm5Nd2Tm4 structure. The functional is PBE-GGA. Values from VASP.

Properties
Energy of formation, eV/atom: 0.14
Symmetry: C2/m
Energy above the lowest structure with this stoichiometry, meV/atom: 0.0
Fermi-level density of states, states/eV per atom: 1.5124

Structure (Quantum ESPRESSO input):
```
&SYSTEM
  ibrav = 0, nat = 11, ntyp = 3
/
ATOMIC_SPECIES
Pm 145.00 Pm.upf
Nd 144.24 Nd.upf
Tm 168.93 Tm.upf
ATOMIC_POSITIONS angstrom
Pm 0.000 0.000 0.000
Pm 2.429 0.000 11.449
Pm 5.277 0.000 5.592
Pm 9.116 0.000 5.992
Pm 11.965 0.000 0.136
Nd 2.138 0.000 3.410
Nd 12.256 0.000 8.174
Tm 0.260 0.000 8.905
Tm 8.030 0.000 2.860
Tm 6.364 0.000 8.724
Tm 14.134 0.000 2.679
CELL_PARAMETERS angstrom
9.016 -1.789 0.000
9.016 1.789 0.000
-3.638 0.000 11.584
```

***

This record from Alexandria via LeMat-Bulk describes a geometry-optimized Si2Sn2Pd structure. The functional is PBE-GGA. Values from VASP.

Properties
Symmetry: P4/mbm
Formation energy without anion corrections, meV per atom: 20
Fermi-level density of states, states/eV per atom: 0.5283

Structure (Quantum ESPRESSO input):
```
&SYSTEM
  ibrav = 0, nat = 10, ntyp = 3
/
ATOMIC_SPECIES
Si 28.09 Si.upf
Sn 118.71 Sn.upf
Pd 106.42 Pd.upf
ATOMIC_POSITIONS angstrom
Si 0.852 2.334 0.000
Si 2.334 5.520 0.000
Si 4.039 0.852 0.000
Si 5.520 4.039 0.000
Sn 1.160 4.346 2.495
Sn 2.026 1.160 2.495
Sn 4.346 5.213 2.495
Sn 5.213 2.026 2.495
Pd 0.000 0.000 0.000
Pd 3.186 3.186 0.000
CELL_PARAMETERS angstrom
6.373 0.000 0.000
0.000 6.373 0.000
0.000 0.000 4.990
```

***

The calculation returns the following raw total energy values, one per record and in order: -3.5212, -5.5825, -4.5112, -4.7887 eV/atom.